DFT (PBE) results for a relaxed Pm3Cd2Ga3 crystal.

Cell: 4.5094 6.1985 14.9582 Å, 90.00 90.00 111.33°
With the nearest neighbours (Å) after each atom.
Sites, in units of the cell vectors:
Pm  0.0715  0.1429  0.8826  6 Ga 3.12-3.35, 4 Cd 3.33-3.48
Ga  0.3548  0.7096  0.2500  2 Cd 2.91, 4 Pm 3.12
Cd  0.7801  0.5602  0.5854  4 Ga 2.74-2.92
Pm  0.9285  0.8571  0.1174  6 Ga 3.12-3.35, 4 Cd 3.33-3.48
Ga  0.5939  0.1879  0.4531  1 Ga 2.58, 2 Cd 2.74
Cd  0.2199  0.4398  0.4146  4 Ga 2.74-2.92
Cd  0.7801  0.5602  0.9146  4 Ga 2.74-2.92
Pm  0.3504  0.7008  0.7500  5 Ga 3.10-3.40, 4 Cd 3.44
Ga  0.6452  0.2904  0.7500  2 Cd 2.91, 4 Pm 3.12
Cd  0.2199  0.4398  0.0854  4 Ga 2.74-2.92
Pm  0.0715  0.1429  0.6174  6 Ga 3.12-3.35, 4 Cd 3.33-3.48
Pm  0.9285  0.8571  0.3826  6 Ga 3.12-3.35, 4 Cd 3.33-3.48
Ga  0.4061  0.8121  0.9531  1 Ga 2.58, 2 Cd 2.74
Pm  0.6496  0.2992  0.2500  5 Ga 3.10-3.40, 4 Cd 3.44
Ga  0.4061  0.8121  0.5469  1 Ga 2.58, 2 Cd 2.74
Ga  0.5939  0.1879  0.0469  1 Ga 2.58, 2 Cd 2.74

Calculated values
- symmetry = No. 63
- energy of formation from the pure elements (eV per atom) = -0.5144

***

DFT (PBE) results for a relaxed Tl4Te3Se8 crystal.

Cell: 8.3587 8.3587 9.6883 Å, 64.44 64.44 60.00°
With the nearest neighbours (Å) after each atom.
Sites, in units of the cell vectors:
Te  0.0000  0.5000  0.5000  6 Se 2.86-2.87
Tl  0.6363  0.6363  0.0912  4 Se 3.15-3.41, 1 Tl 3.43
Se  0.7960  0.2514  0.7012  2 Te 2.86, 2 Tl 3.12-3.15
Se  0.7486  0.7486  0.2988  2 Te 2.86, 2 Tl 3.12-3.15
Se  0.2514  0.7960  0.7012  2 Te 2.86, 2 Tl 3.12-3.15
Se  0.2514  0.2514  0.7012  2 Te 2.86, 2 Tl 3.12-3.15
Se  0.7486  0.2040  0.2988  2 Te 2.86, 2 Tl 3.12-3.15
Tl  0.0000  0.0000  0.0000  6 Se 3.34
Te  0.0000  0.0000  0.5000  6 Se 2.86-2.87
Se  0.2286  0.2286  0.3142  3 Te 2.87
Tl  0.3637  0.3637  0.9088  4 Se 3.15-3.41, 1 Tl 3.43
Se  0.2040  0.7486  0.2988  2 Te 2.86, 2 Tl 3.12-3.15
Te  0.5000  0.0000  0.5000  6 Se 2.86-2.87
Tl  0.5000  0.5000  0.5000  6 Se 3.12, 2 Tl 3.43
Se  0.7714  0.7714  0.6858  3 Te 2.87

Calculated values
- symmetry = No. 166
- E_form (uncorrected) (eV per atom) = -0.114

***

DFT (PBE) results for a relaxed LaGe3Pt crystal.

Cell: 6.3436 6.2335 6.2348 Å, 120.00 89.99 90.06°
With the nearest neighbours (Å) after each atom.
Sites, in units of the cell vectors:
La  0.2500  0.3333  0.6667  6 Ge 3.13
Ge  0.7500  0.1928  0.3855  2 Pt 2.62, 2 Ge 2.63
Ge  0.7501  0.1928  0.8072  2 Pt 2.62, 2 Ge 2.63
Ge  0.2500  0.8072  0.6145  2 Pt 2.62, 2 Ge 2.63
Ge  0.7499  0.6145  0.8072  2 Pt 2.62, 2 Ge 2.63
Ge  0.2501  0.3855  0.1928  2 Pt 2.62, 2 Ge 2.63
Pt  0.5000  0.0000  0.0000  6 Ge 2.62
Ge  0.2499  0.8072  0.1928  2 Pt 2.62, 2 Ge 2.63
Pt  0.0000  0.0000  0.0000  6 Ge 2.62
La  0.7500  0.6667  0.3334  6 Ge 3.13

Calculated values
- symmetry = No. 12
- energy of formation from the pure elements (eV per atom) = -0.5061

***

DFT (PBE) results for a relaxed In12Si3Hg5 crystal.

Cell: 14.5883 14.5883 14.5883 Å, 109.47 109.47 109.47°
With the nearest neighbours (Å) after each atom.
Sites, in units of the cell vectors:
Si  0.1250  0.8750  0.7500  4 In 2.84
Hg  0.6250  0.7500  0.8750  4 In 2.85
In  0.6013  0.8658  0.4332  1 Si 2.84, 2 Hg 2.85-2.93, 1 In 3.08
Hg  0.2500  0.8750  0.1250  4 In 2.85
Hg  0.1250  0.7500  0.3750  4 In 2.85
Hg  0.0000  0.0000  0.0000  6 In 2.93
In  0.0673  0.4332  0.8319  1 Si 2.84, 2 Hg 2.85-2.93, 1 In 3.08
In  0.8319  0.8987  0.2646  1 Si 2.84, 2 Hg 2.85-2.93, 1 In 3.08
In  0.6342  0.0673  0.2354  1 Si 2.84, 2 Hg 2.85-2.93, 1 In 3.08
In  0.0668  0.8987  0.1342  1 Si 2.84, 2 Hg 2.85-2.93, 1 In 3.08
In  0.3319  0.5673  0.4332  1 Si 2.84, 2 Hg 2.85-2.93, 1 In 3.08
In  0.4327  0.6681  0.0668  1 Si 2.84, 2 Hg 2.85-2.93, 1 In 3.08
In  0.6681  0.2354  0.6013  1 Si 2.84, 2 Hg 2.85-2.93, 1 In 3.08
In  0.5668  0.6342  0.3987  1 Si 2.84, 2 Hg 2.85-2.93, 1 In 3.08
Si  0.2500  0.6250  0.8750  4 In 2.84
In  0.9332  0.1013  0.8658  1 Si 2.84, 2 Hg 2.85-2.93, 1 In 3.08
In  0.2646  0.3987  0.8319  1 Si 2.84, 2 Hg 2.85-2.93, 1 In 3.08
Hg  0.7500  0.6250  0.3750  4 In 2.85
Si  0.7500  0.8750  0.6250  4 In 2.84
Hg  0.1250  0.3750  0.2500  4 In 2.85
Si  0.3750  0.7500  0.6250  4 In 2.84
In  0.7646  0.3319  0.8987  1 Si 2.84, 2 Hg 2.85-2.93, 1 In 3.08
In  0.3987  0.2646  0.3319  1 Si 2.84, 2 Hg 2.85-2.93, 1 In 3.08
Si  0.2500  0.1250  0.3750  4 In 2.84
Si  0.6250  0.2500  0.3750  4 In 2.84
Hg  0.5000  0.5000  0.5000  6 In 2.93
In  0.3658  0.9327  0.7646  1 Si 2.84, 2 Hg 2.85-2.93, 1 In 3.08
In  0.1013  0.1681  0.2354  1 Si 2.84, 2 Hg 2.85-2.93, 1 In 3.08
In  0.1013  0.9332  0.3658  1 Si 2.84, 2 Hg 2.85-2.93, 1 In 3.08
Hg  0.8750  0.6250  0.7500  4 In 2.85
In  0.8658  0.6013  0.9332  1 Si 2.84, 2 Hg 2.85-2.93, 1 In 3.08
In  0.8987  0.8319  0.7646  1 Si 2.84, 2 Hg 2.85-2.93, 1 In 3.08
In  0.8987  0.0668  0.6342  1 Si 2.84, 2 Hg 2.85-2.93, 1 In 3.08
In  0.2646  0.8658  0.9327  1 Si 2.84, 2 Hg 2.85-2.93, 1 In 3.08
Hg  0.0000  0.5000  0.0000  6 In 2.93
In  0.6342  0.5668  0.8987  1 Si 2.84, 2 Hg 2.85-2.93, 1 In 3.08
Si  0.1250  0.2500  0.8750  4 In 2.84
Hg  0.0000  0.0000  0.5000  6 In 2.93
In  0.2354  0.6681  0.1013  1 Si 2.84, 2 Hg 2.85-2.93, 1 In 3.08
In  0.3987  0.1342  0.5668  1 Si 2.84, 2 Hg 2.85-2.93, 1 In 3.08
In  0.1342  0.7354  0.5673  1 Si 2.84, 2 Hg 2.85-2.93, 1 In 3.08
In  0.7354  0.6013  0.1681  1 Si 2.84, 2 Hg 2.85-2.93, 1 In 3.08
Si  0.8750  0.1250  0.2500  4 In 2.84
Hg  0.7500  0.1250  0.8750  4 In 2.85
In  0.1681  0.1013  0.7354  1 Si 2.84, 2 Hg 2.85-2.93, 1 In 3.08
Hg  0.8750  0.2500  0.6250  4 In 2.85
Hg  0.5000  0.0000  0.0000  6 In 2.93
Hg  0.3750  0.1250  0.7500  4 In 2.85
Si  0.6250  0.3750  0.7500  4 In 2.84
In  0.2354  0.5673  0.6342  1 Si 2.84, 2 Hg 2.85-2.93, 1 In 3.08
In  0.0668  0.1681  0.4327  1 Si 2.84, 2 Hg 2.85-2.93, 1 In 3.08
Hg  0.6250  0.8750  0.2500  4 In 2.85
In  0.6013  0.7354  0.6681  1 Si 2.84, 2 Hg 2.85-2.93, 1 In 3.08
In  0.4332  0.3658  0.6013  1 Si 2.84, 2 Hg 2.85-2.93, 1 In 3.08
Si  0.7500  0.3750  0.1250  4 In 2.84
In  0.8319  0.9332  0.0673  1 Si 2.84, 2 Hg 2.85-2.93, 1 In 3.08
In  0.5673  0.2354  0.1342  1 Si 2.84, 2 Hg 2.85-2.93, 1 In 3.08
In  0.9332  0.8319  0.5673  1 Si 2.84, 2 Hg 2.85-2.93, 1 In 3.08
Si  0.3750  0.6250  0.2500  4 In 2.84
Si  0.8750  0.7500  0.1250  4 In 2.84
Hg  0.2500  0.3750  0.6250  4 In 2.85
In  0.5668  0.9327  0.6681  1 Si 2.84, 2 Hg 2.85-2.93, 1 In 3.08
In  0.6681  0.4327  0.5668  1 Si 2.84, 2 Hg 2.85-2.93, 1 In 3.08
In  0.3658  0.4332  0.1013  1 Si 2.84, 2 Hg 2.85-2.93, 1 In 3.08
In  0.7646  0.4327  0.3658  1 Si 2.84, 2 Hg 2.85-2.93, 1 In 3.08
In  0.8658  0.2646  0.4327  1 Si 2.84, 2 Hg 2.85-2.93, 1 In 3.08
In  0.9327  0.3658  0.2646  1 Si 2.84, 2 Hg 2.85-2.93, 1 In 3.08
Hg  0.5000  0.0000  0.5000  6 In 2.93
In  0.1342  0.3987  0.0668  1 Si 2.84, 2 Hg 2.85-2.93, 1 In 3.08
Hg  0.3750  0.2500  0.1250  4 In 2.85
Hg  0.0000  0.5000  0.5000  6 In 2.93
In  0.1681  0.0668  0.9327  1 Si 2.84, 2 Hg 2.85-2.93, 1 In 3.08
In  0.7354  0.1342  0.0673  1 Si 2.84, 2 Hg 2.85-2.93, 1 In 3.08
Hg  0.5000  0.5000  0.0000  6 In 2.93
In  0.4327  0.7646  0.8658  1 Si 2.84, 2 Hg 2.85-2.93, 1 In 3.08
In  0.3319  0.7646  0.3987  1 Si 2.84, 2 Hg 2.85-2.93, 1 In 3.08
In  0.9327  0.5668  0.1681  1 Si 2.84, 2 Hg 2.85-2.93, 1 In 3.08
In  0.0673  0.6342  0.7354  1 Si 2.84, 2 Hg 2.85-2.93, 1 In 3.08
In  0.4332  0.0673  0.3319  1 Si 2.84, 2 Hg 2.85-2.93, 1 In 3.08
In  0.5673  0.3319  0.9332  1 Si 2.84, 2 Hg 2.85-2.93, 1 In 3.08

Calculated values
- symmetry = No. 230
- E_form (uncorrected) (eV per atom) = 0.222

***

DFT (PBE) results for a relaxed KInAg2Cl6 crystal.

Cell: 7.0280 7.0231 7.5716 Å, 62.33 62.27 59.93°
With the nearest neighbours (Å) after each atom.
Sites, in units of the cell vectors:
Ag  0.0044  0.0056  0.9853  6 Cl 2.70-2.91
Cl  0.7159  0.1519  0.7679  1 In 2.57, 1 Ag 2.71
Cl  0.1524  0.3644  0.7681  1 In 2.57, 1 Ag 2.71
Ag  0.5236  0.5234  0.4295  6 Cl 2.73-2.95
Cl  0.3639  0.7158  0.7684  1 In 2.57, 1 Ag 2.70
Cl  0.9454  0.5650  0.2351  1 In 2.57, 1 Ag 2.73
K  0.8093  0.8093  0.5715  6 Cl 3.04-3.24
In  0.3267  0.3265  0.0201  6 Cl 2.57
Cl  0.2546  0.9455  0.2348  1 In 2.57, 1 Ag 2.73
Cl  0.5653  0.2544  0.2345  1 In 2.57, 1 Ag 2.73

Calculated values
- symmetry = No. 1
- E_form (uncorrected) (eV per atom) = -1.007

***

DFT (PBE) results for a relaxed Pm5Sc4In4 crystal.

Cell: 4.7943 9.1483 9.1483 Å, 86.06 74.81 74.81°
With the nearest neighbours (Å) after each atom.
Sites, in units of the cell vectors:
Sc  0.0957  0.4865  0.3222  3 In 3.01-3.08, 5 Sc 3.15-3.27
Pm  0.3023  0.0833  0.3121  5 In 3.29-3.45, 3 Sc 3.56-3.65
Sc  0.4179  0.6778  0.4865  3 In 3.01-3.08, 5 Sc 3.15-3.27
Sc  0.5821  0.3222  0.5135  3 In 3.01-3.08, 5 Sc 3.15-3.27
Pm  0.3856  0.3121  0.9167  5 In 3.29-3.45, 3 Sc 3.56-3.65
In  0.2493  0.6737  0.8277  3 Sc 3.01-3.08, 4 Pm 3.26-3.29
Pm  0.6977  0.9167  0.6879  5 In 3.29-3.45, 3 Sc 3.56-3.65
In  0.0770  0.1723  0.6737  3 Sc 3.01-3.08, 4 Pm 3.26-3.29
Sc  0.9043  0.5135  0.6778  3 In 3.01-3.08, 5 Sc 3.15-3.27
In  0.9230  0.8277  0.3263  3 Sc 3.01-3.08, 4 Pm 3.26-3.29
Pm  0.6144  0.6879  0.0833  5 In 3.29-3.45, 3 Sc 3.56-3.65
Pm  0.0000  0.0000  0.0000  4 In 3.26
In  0.7507  0.3263  0.1723  3 Sc 3.01-3.08, 4 Pm 3.26-3.29

Calculated values
- symmetry = No. 87
- energy of formation from the pure elements (eV per atom) = -0.2977

***

DFT (PBE) results for a relaxed CoSi3 crystal.

Cell: 4.5312 4.5312 4.5312 Å, 114.56 114.56 114.56°
With the nearest neighbours (Å) after each atom.
Sites, in units of the cell vectors:
Si  0.0000  0.5000  0.5000  2 Co 2.45, 4 Si 2.45
Si  0.5000  0.5000  0.0000  4 Si 2.45, 2 Co 2.45
Co  0.0000  0.0000  0.0000  6 Si 2.45
Si  0.5000  0.0000  0.5000  4 Si 2.45, 2 Co 2.45

Calculated values
- symmetry = No. 166
- E_form (uncorrected) (eV per atom) = 0.292

***

DFT (PBE) results for a relaxed Na2CaGeSe crystal.

Cell: 5.2029 5.8776 5.2029 Å, 90.00 90.00 90.00°
With the nearest neighbours (Å) after each atom.
Sites, in units of the cell vectors:
Ca  0.5000  0.5000  0.5000  4 Ge 3.68, 8 Na 3.92
Se  0.0000  0.0000  0.0000  4 Na 2.60
Na  0.5000  0.0000  0.0000  2 Se 2.60
Na  0.0000  0.0000  0.5000  2 Se 2.60
Ge  0.0000  0.5000  0.0000  2 Se 2.94

Calculated values
- symmetry = No. 123
- E_form (uncorrected) (eV per atom) = -0.156

***

DFT (PBE) results for a relaxed BiN crystal.

Cell: 3.1801 3.1801 3.1801 Å, 90.00 90.00 90.00°
With the nearest neighbours (Å) after each atom.
Sites, in units of the cell vectors:
N  0.5000  0.5000  0.5000  8 Bi 2.75
Bi  0.0000  0.0000  0.0000  8 N 2.75

Calculated values
- symmetry = No. 221
- E_form (uncorrected) (eV per atom) = 1.332

***

DFT (PBE) results for a relaxed PmDy4Tm6 crystal.

Cell: 5.5848 5.5727 25.4793 Å, 90.00 90.00 120.07°
With the nearest neighbours (Å) after each atom.
Sites, in units of the cell vectors:
Dy  0.1661  0.3322  0.0416  8 Tm 3.39-3.67, 1 Dy 3.79
Dy  0.5019  0.0037  0.6215  5 Tm 3.10-3.27
Dy  0.5019  0.0037  0.8785  5 Tm 3.10-3.27
Tm  0.5020  0.0040  0.7500  3 Pm 3.22, 2 Dy 3.27
Dy  0.4981  0.9963  0.1215  5 Tm 3.10-3.27
Tm  0.1680  0.3360  0.8976  6 Dy 3.26-3.57
Dy  0.8339  0.6678  0.9584  8 Tm 3.39-3.67, 1 Dy 3.79
Pm  0.8316  0.6631  0.2500  3 Tm 3.22
Tm  0.1649  0.3297  0.1810  7 Tm 3.52-3.80, 4 Dy 3.55-3.56, 3 Pm 3.66-3.67
Tm  0.8351  0.6703  0.8190  7 Tm 3.52-3.80, 4 Dy 3.55-3.56, 3 Pm 3.66-3.67
Tm  0.5000  0.0000  0.5000  8 Dy 3.10-3.39
Tm  0.4980  0.9960  0.2500  3 Pm 3.22, 2 Dy 3.27
Tm  0.1680  0.3360  0.6024  6 Dy 3.26-3.57
Tm  0.8320  0.6640  0.3976  6 Dy 3.26-3.57
Dy  0.4981  0.9963  0.3785  5 Tm 3.10-3.27
Pm  0.1684  0.3369  0.7500  3 Tm 3.22
Tm  0.8351  0.6703  0.6810  7 Tm 3.52-3.80, 4 Dy 3.55-3.56, 3 Pm 3.66-3.67
Dy  0.1661  0.3322  0.4584  8 Tm 3.39-3.67, 1 Dy 3.79
Tm  0.8320  0.6640  0.1024  6 Dy 3.26-3.57
Dy  0.8339  0.6678  0.5416  8 Tm 3.39-3.67, 1 Dy 3.79
Tm  0.5000  0.0000  0.0000  8 Dy 3.10-3.39
Tm  0.1649  0.3297  0.3190  7 Tm 3.52-3.80, 4 Dy 3.55-3.56, 3 Pm 3.66-3.67

Calculated values
- ΔE to the lowest computed polymorph (meV/atom) = 0
- symmetry = No. 63
- energy of formation from the pure elements (eV per atom) = 0.1201

***

DFT (PBE) results for a relaxed Ta2VPb crystal.

Cell: 3.9868 3.9868 10.5637 Å, 79.12 79.12 90.00°
With the nearest neighbours (Å) after each atom.
Sites, in units of the cell vectors:
V  0.5000  0.5000  0.0000  4 Pb 2.82, 4 Ta 2.90
Ta  0.8750  0.8687  0.7500  4 Ta 2.78-2.85, 2 V 2.90, 2 Pb 2.92
Ta  0.1313  0.6250  0.2500  4 Ta 2.78-2.85, 2 V 2.90, 2 Pb 2.92
V  0.2500  0.7500  0.5000  4 Pb 2.82, 4 Ta 2.90
Ta  0.3750  0.3813  0.7500  4 Ta 2.78-2.85, 2 V 2.90, 2 Pb 2.92
Pb  0.7500  0.2500  0.5000  4 V 2.82, 4 Ta 2.92
Pb  0.0000  0.0000  0.0000  4 V 2.82, 4 Ta 2.92
Ta  0.6187  0.1250  0.2500  4 Ta 2.78-2.85, 2 V 2.90, 2 Pb 2.92

Calculated values
- symmetry = No. 122
- energy of formation from the pure elements (eV per atom) = 0.8602

***

DFT (PBE) results for a relaxed HoTh2Sc7 crystal.

Cell: 3.2670 6.1406 13.8871 Å, 102.77 90.00 90.00°
With the nearest neighbours (Å) after each atom.
Sites, in units of the cell vectors:
Sc  0.5000  0.1522  0.8000  7 Sc 3.04-3.33, 1 Th 3.12
Sc  0.0000  0.6911  0.3822  6 Sc 3.27-3.33, 6 Th 3.38-3.49
Ho  0.0000  0.0000  0.0000  2 Ho 3.27, 12 Sc 3.48-3.52
Th  0.5000  0.1998  0.3996  8 Sc 3.12-3.49, 2 Th 3.27
Sc  0.5000  0.5000  0.0000  6 Sc 3.11-3.27, 4 Ho 3.48
Sc  0.5000  0.8478  0.2000  7 Sc 3.04-3.33, 1 Th 3.12
Sc  0.0000  0.3089  0.6178  6 Sc 3.27-3.33, 6 Th 3.38-3.49
Sc  0.5000  0.3522  0.2000  7 Sc 3.04-3.33, 1 Th 3.12
Th  0.5000  0.8002  0.6004  8 Sc 3.12-3.49, 2 Th 3.27
Sc  0.5000  0.6478  0.8000  7 Sc 3.04-3.33, 1 Th 3.12

Calculated values
- ΔE to the lowest computed polymorph (meV/atom) = 0
- symmetry = No. 65
- energy of formation from the pure elements (eV per atom) = 0.2111

***

Number 1: total magnetic moment 1.28 μB/cell. Number 2: total magnetic moment 0.00 μB/cell. Number 3: total magnetic moment 0.00 μB/cell. Number 4: total magnetic moment 0.00 μB/cell. Number 5: total magnetic moment 0.00 μB/cell. Number 6: total magnetic moment 0.00 μB/cell. Number 7: total magnetic moment 0.00 μB/cell. Number 8: total magnetic moment 0.48 μB/cell. Number 9: total magnetic moment 0.00 μB/cell. Number 10: total magnetic moment 0.00 μB/cell. Number 11: total magnetic moment 2.70 μB/cell. Number 12: total magnetic moment 0.00 μB/cell.